Here is YBe2W after structural relaxation from the Alexandria database. Energies are from PBE.

## Properties
**Space-group type**: P4/mmm
**Uncorrected energy**: -6.576 eV/atom
**Magnetic moment**: 0.0 μB/f.u.
**Offset from the most stable computed form**: 0 meV per atom

Structure (POSCAR):
```
YBe2W
1.0
3.216 0.000 0.000
0.000 3.216 0.000
0.000 0.000 5.902
Y Be W
1 2 1
direct
0.000 0.000 0.000 Y
0.500 0.500 0.324 Be
0.500 0.500 0.676 Be
0.000 0.000 0.500 W
```